1.
Density functional theory data (GGA-PBE) for crystalline TaCu2Te at its relaxed geometry.

formation energy (no corrections)	0.179	eV/atom

a b c (Å): 3.3877 3.3873 5.8574
angles (deg): 90.01 90.00 90.00
Positions (direct):
Ta: 0.0000 0.3747 0.4922
Cu: 0.5000 0.8750 0.2193
Cu: 0.0000 0.3754 0.0423
Te: 0.5000 0.8748 0.7462

---

2.
Density functional theory data (GGA-PBE) for crystalline Li4Ca5La at its relaxed geometry.

formation energy from the elements	3.7	kJ per mole of atoms

a b c (Å): 3.9346 3.9346 21.1748
angles (deg): 90.00 90.00 90.00
Positions (direct):
Ca: 0.5000 0.5000 0.3131
Li: 0.0000 0.0000 0.4066
Ca: 0.5000 0.5000 0.1247
Ca: 0.5000 0.5000 0.6869
Ca: 0.5000 0.5000 0.8753
Li: 0.0000 0.0000 0.7821
Li: 0.0000 0.0000 0.5934
Li: 0.0000 0.0000 0.2179
La: 0.0000 0.0000 0.0000
Ca: 0.5000 0.5000 0.5000